{"formula": "ZrTl3N", "functional": "PBE", "state": "optimized geometry", "cell": [[4.864, 0.000, 0.000], [0.000, 4.864, 0.000], [0.000, 0.000, 4.864]], "species": ["Tl", "Tl", "Tl", "Zr", "N"], "frac_coords": [[0.000, 0.500, 0.000], [0.000, 0.000, 0.500], [0.500, 0.000, 0.000], [0.500, 0.500, 0.500], [0.000, 0.000, 0.000]], "space_group": "Pm-3m (221)", "e_tot_ev_per_cell": -19.36, "de_polymorph_ev_per_atom": 0.000, "raw_formation_energy_ev_per_atom": 0.92}